Record 1
DFT (PBE-GGA) results for a geometry-optimized Ba2Zn structure.

- symmetry = I4/mmm (139)
- electronic total energy (eV/atom) = -1.84
- crystal system = tetragonal

a b c (Å): 8.030 8.030 8.030
angles (deg): 149.91 149.91 43.07
Element x y z (fractional)
Ba1 0.129 0.129 0.000
Ba2 0.871 0.871 0.000
Zn1 0.500 0.500 0.000

***

Record 2
DFT (PBE-GGA) results for a geometry-optimized Ba3Zn4 structure.

- symmetry = P2_1/m (11)
- electronic total energy (eV/atom) = -1.54
- offset from the most stable computed form (meV/atom) = 98
- crystal system = monoclinic

a b c (Å): 10.072 5.425 10.078
angles (deg): 90.00 119.97 90.00
Element x y z (fractional)
Ba1 0.046 0.250 0.315
Ba2 0.270 0.250 0.954
Ba3 0.315 0.750 0.269
Ba4 0.685 0.250 0.731
Ba5 0.730 0.750 0.046
Ba6 0.954 0.750 0.685
Zn1 0.176 0.750 0.523
Zn2 0.333 0.250 0.666
Zn3 0.346 0.750 0.823
Zn4 0.476 0.750 0.653
Zn5 0.524 0.250 0.347
Zn6 0.654 0.250 0.177
Zn7 0.667 0.750 0.334
Zn8 0.824 0.250 0.477

***

Record 3
DFT (PBE-GGA) results for a geometry-optimized Ba3Zn4 structure.

- symmetry = Pm (6)
- electronic total energy (eV/atom) = -1.64
- offset from the most stable computed form (meV/atom) = 0
- crystal system = monoclinic

a b c (Å): 10.439 4.775 10.441
angles (deg): 90.00 119.96 90.00
Element x y z (fractional)
Ba1 0.000 0.000 0.000
Ba2 0.094 0.500 0.679
Ba3 0.265 0.000 0.492
Ba4 0.359 0.500 0.171
Ba5 0.585 0.500 0.906
Ba6 0.773 0.000 0.265
Zn1 0.013 0.500 0.252
Zn2 0.346 0.000 0.919
Zn3 0.516 0.500 0.552
Zn4 0.551 0.000 0.423
Zn5 0.645 0.000 0.714
Zn6 0.713 0.500 0.457
Zn7 0.808 0.500 0.748
Zn8 0.842 0.000 0.619

***

Record 4
DFT (PBE-GGA) results for a geometry-optimized BaZn3 structure.

- symmetry = Pmmn (59)
- electronic total energy (eV/atom) = -1.62
- crystal system = orthorhombic

a b c (Å): 4.434 6.869 6.389
angles (deg): 90.00 90.00 90.00
Element x y z (fractional)
Ba1 0.250 0.250 0.105
Ba2 0.750 0.750 0.895
Zn1 0.250 0.047 0.606
Zn2 0.250 0.453 0.606
Zn3 0.250 0.750 0.336
Zn4 0.750 0.250 0.664
Zn5 0.750 0.547 0.394
Zn6 0.750 0.953 0.394

***

Record 5
DFT (PBE-GGA) results for a geometry-optimized BaZrZn2 structure.

- symmetry = F-43m (216)
- electronic total energy (eV/atom) = -2.72
- crystal system = cubic

a b c (Å): 5.131 5.131 5.131
angles (deg): 60.00 60.00 60.00
Element x y z (fractional)
Ba1 0.000 0.000 0.000
Zr1 0.250 0.250 0.250
Zn1 0.500 0.500 0.500
Zn2 0.750 0.750 0.750

***

Record 6
DFT (PBE-GGA) results for a geometry-optimized BaZrZn structure.

- symmetry = F-43m (216)
- electronic total energy (eV/atom) = -2.70
- offset from the most stable computed form (meV/atom) = 401
- crystal system = cubic

a b c (Å): 5.094 5.094 5.094
angles (deg): 60.00 60.00 60.00
Element x y z (fractional)
Ba1 0.000 0.000 0.000
Zr1 0.750 0.750 0.750
Zn1 0.250 0.250 0.250

***

Record 7
DFT (PBE-GGA) results for a geometry-optimized BaZr2Zn structure.

- symmetry = F-43m (216)
- electronic total energy (eV/atom) = -4.59
- crystal system = cubic

a b c (Å): 5.278 5.278 5.278
angles (deg): 60.00 60.00 60.00
Element x y z (fractional)
Ba1 0.000 0.000 0.000
Zr1 0.500 0.500 0.500
Zr2 0.750 0.750 0.750
Zn1 0.250 0.250 0.250

***

Record 8
DFT (PBE-GGA) results for a geometry-optimized BaZr structure.

- symmetry = Amm2 (38)
- electronic total energy (eV/atom) = -4.68
- offset from the most stable computed form (meV/atom) = 215
- crystal system = orthorhombic

a b c (Å): 5.524 11.008 11.008
angles (deg): 149.26 90.00 90.00
Element x y z (fractional)
Ba1 0.000 0.000 0.000
Ba2 0.000 0.385 0.611
Ba3 0.000 0.611 0.385
Ba4 0.500 0.173 0.942
Ba5 0.500 0.942 0.173
Zr1 0.000 0.153 0.705
Zr2 0.000 0.705 0.153
Zr3 0.500 0.392 0.834
Zr4 0.500 0.513 0.513
Zr5 0.500 0.834 0.392

***

Record 9
DFT (PBE-GGA) results for a geometry-optimized BaZr structure.

- symmetry = Pmm2 (25)
- electronic total energy (eV/atom) = -4.71
- offset from the most stable computed form (meV/atom) = 189
- crystal system = orthorhombic

a b c (Å): 5.506 15.345 6.974
angles (deg): 90.00 90.00 90.00
Element x y z (fractional)
Ba1 0.000 0.000 0.000
Ba2 0.000 0.162 0.465
Ba3 0.000 0.500 0.146
Ba4 0.000 0.838 0.465
Ba5 0.500 0.000 0.599
Ba6 0.500 0.337 0.278
Ba7 0.500 0.500 0.743
Ba8 0.500 0.663 0.278
Zr1 0.000 0.236 0.971
Zr2 0.000 0.368 0.678
Zr3 0.000 0.632 0.678
Zr4 0.000 0.764 0.971
Zr5 0.500 0.130 0.066
Zr6 0.500 0.263 0.772
Zr7 0.500 0.737 0.772
Zr8 0.500 0.870 0.066

***

Record 10
DFT (PBE-GGA) results for a geometry-optimized BaZr structure.

- symmetry = Pmmn (59)
- electronic total energy (eV/atom) = -4.68
- offset from the most stable computed form (meV/atom) = 215
- crystal system = orthorhombic

a b c (Å): 5.848 7.394 13.256
angles (deg): 90.00 90.00 90.00
Element x y z (fractional)
Ba1 0.250 0.002 0.093
Ba2 0.250 0.250 0.357
Ba3 0.250 0.250 0.781
Ba4 0.250 0.498 0.093
Ba5 0.750 0.502 0.907
Ba6 0.750 0.750 0.219
Ba7 0.750 0.750 0.643
Ba8 0.750 0.998 0.907
Zr1 0.250 0.534 0.571
Zr2 0.250 0.750 0.388
Zr3 0.250 0.750 0.775
Zr4 0.250 0.966 0.571
Zr5 0.750 0.034 0.429
Zr6 0.750 0.250 0.225
Zr7 0.750 0.250 0.612
Zr8 0.750 0.466 0.429

***

Record 11
DFT (PBE-GGA) results for a geometry-optimized BaZr structure.

- symmetry = P2_1/m (11)
- electronic total energy (eV/atom) = -4.85
- offset from the most stable computed form (meV/atom) = 45
- crystal system = monoclinic

a b c (Å): 6.784 5.384 12.143
angles (deg): 90.00 94.18 90.00
Element x y z (fractional)
Ba1 0.225 0.250 0.274
Ba2 0.234 0.250 0.813
Ba3 0.262 0.750 0.038
Ba4 0.738 0.250 0.962
Ba5 0.766 0.750 0.187
Ba6 0.775 0.750 0.726
Zr1 0.024 0.250 0.552
Zr2 0.273 0.750 0.641
Zr3 0.496 0.750 0.441
Zr4 0.504 0.250 0.559
Zr5 0.727 0.250 0.359
Zr6 0.976 0.750 0.448

***

Record 12
DFT (PBE-GGA) results for a geometry-optimized BaZr structure.

- symmetry = P-6m2 (187)
- electronic total energy (eV/atom) = -4.69
- offset from the most stable computed form (meV/atom) = 203
- crystal system = hexagonal

a b c (Å): 8.042 8.042 5.349
angles (deg): 90.00 90.00 120.00
Element x y z (fractional)
Ba1 0.000 0.000 0.000
Ba2 0.352 0.176 0.500
Ba3 0.824 0.176 0.500
Ba4 0.824 0.648 0.500
Zr1 0.093 0.546 0.000
Zr2 0.333 0.667 0.500
Zr3 0.454 0.546 0.000
Zr4 0.454 0.907 0.000